Below is crystalline Tb8Pr3Th2 at its relaxed geometry, with properties calculated at the GGA-PBE level.

Values from the calculation:
Symmetry: P-1 (2)
Formation energy: 133 meV per atom
Electronic total energy: -4.96 eV/atom
Magnetization: 0.00 Bohr magnetons per cell

```
Tb8Pr3Th2
1.0
-6.532 10.307 -6.914
1.931 -9.215 1.894
-8.049 -0.991 12.843
Pr Th Tb
6 4 16
Cartesian
-8.034 -0.977 9.276 Pr
-4.616 1.077 -1.453 Pr
0.000 0.000 0.000 Pr
-1.443 -5.161 4.498 Pr
-7.290 4.658 2.965 Pr
-11.207 5.261 3.325 Pr
-8.165 -4.031 11.038 Th
-2.741 -1.760 4.662 Th
-9.909 1.860 3.161 Th
-4.484 4.131 -3.215 Th
-2.266 -7.458 7.019 Tb
-7.574 2.154 5.729 Tb
-6.475 1.257 2.425 Tb
-1.409 -2.819 1.673 Tb
-5.076 -2.054 2.094 Tb
-11.240 2.920 6.150 Tb
-5.597 3.818 0.020 Tb
-2.966 0.728 1.875 Tb
-6.175 -1.156 5.399 Tb
-10.384 7.558 0.805 Tb
-9.419 1.898 8.746 Tb
-3.231 -1.797 -0.922 Tb
-12.544 6.149 6.697 Tb
-9.684 -0.627 5.949 Tb
-7.052 -3.718 7.803 Tb
-0.105 -6.049 1.126 Tb
```